No. 1
A geometry-optimized YTaCo2Bi2 structure. Source: OQMD via LeMat-Bulk, functional GGA-PBE.

```
YTaCo2Bi2
1.0
-2.665 2.559 5.065
-3.802 0.412 -2.208
-2.476 -8.045 2.762
Bi Co Y Ta
4 4 2 2
Cartesian
-4.823 1.724 4.210 Bi
-3.454 -5.818 4.861 Bi
-3.500 -4.840 0.707 Bi
-2.280 -1.653 3.618 Bi
-2.216 1.001 4.001 Co
-3.681 -3.263 5.728 Co
-3.496 -1.888 1.250 Co
-4.725 -6.378 2.529 Co
-4.808 -3.504 3.209 Y
-0.962 -2.998 1.097 Y
-3.500 0.480 1.700 Ta
-4.808 -4.544 7.431 Ta
```

Mass density   10.91 g cm⁻³
E   -84.17 eV for the cell shown

---

No. 2
A geometry-optimized Na4Cu2AsP structure. Source: OQMD via LeMat-Bulk, functional GGA-PBE.

```
Na4Cu2AsP
1.0
-3.072 -3.141 -3.466
-1.189 -4.458 3.166
-4.381 2.392 1.719
Na P Cu As
4 1 2 1
Cartesian
-5.395 1.263 0.685 Na
-5.429 -5.253 1.555 Na
-3.803 -6.081 -1.226 Na
-2.677 -0.330 1.752 Na
-3.820 -2.954 2.474 P
-3.221 -3.207 0.331 Cu
-5.393 -2.020 1.184 Cu
-2.637 -3.445 -1.935 As
```

Mass density   3.34 g cm⁻³
E   -25.73 eV for the cell shown

---

No. 3
A geometry-optimized ErTcNO structure. Source: OQMD via LeMat-Bulk, functional GGA-PBE.

```
ErTcNO
1.0
5.445 0.000 0.000
0.000 7.755 0.000
0.000 0.000 5.132
N O Er Tc
4 4 4 4
Cartesian
3.239 6.570 3.685 N
0.517 1.184 3.685 N
4.928 6.570 1.119 N
2.205 1.184 1.119 N
1.367 4.009 0.476 O
4.077 3.746 3.042 O
4.090 3.746 0.476 O
1.355 4.009 3.042 O
2.823 4.986 1.782 Er
5.344 4.986 4.348 Er
2.622 2.769 4.348 Er
0.101 2.769 1.782 Er
3.404 7.633 0.229 Tc
4.763 7.633 2.794 Tc
0.682 0.121 0.229 Tc
2.041 0.121 2.794 Tc
```

Mass density   9.05 g cm⁻³
E   -140.45 eV for the cell shown

---

No. 4
A geometry-optimized Zn2FeRe structure. Source: OQMD via LeMat-Bulk, functional GGA-PBE.

```
Zn2FeRe
1.0
0.853 -1.061 3.969
-0.562 2.789 3.084
-3.126 -0.516 2.751
Re Zn Fe
1 2 1
Cartesian
-1.418 0.606 4.902 Re
0.000 0.000 0.000 Zn
-2.126 0.909 7.353 Zn
-0.709 0.303 2.451 Fe
```

Formation energy   0.283 eV/atom
Mass density   11.85 g cm⁻³

---

No. 5
A geometry-optimized Fe4Si2NiIr structure. Source: OQMD via LeMat-Bulk, functional GGA-PBE.

```
Fe4Si2NiIr
1.0
4.044 0.000 0.000
0.000 4.044 0.000
0.000 0.000 5.725
Si Fe Ni Ir
2 4 1 1
Cartesian
0.000 2.022 1.480 Si
2.022 0.000 4.245 Si
0.000 2.022 4.224 Fe
2.022 0.000 1.501 Fe
2.022 2.022 2.862 Fe
0.000 0.000 0.000 Fe
0.000 0.000 2.862 Ni
2.022 2.022 0.000 Ir
```

Mass density   9.41 g cm⁻³
E   -61.07 eV for the cell shown

---

No. 6
A geometry-optimized CsGe5Os3 structure. Source: OQMD via LeMat-Bulk, functional GGA-PBE.

```
CsGe5Os3
1.0
-1.069 -0.733 -5.239
-0.746 -4.042 3.498
-8.084 2.604 1.286
Ge Os Cs
5 3 1
Cartesian
-6.859 -1.004 1.541 Ge
-3.040 -1.166 -1.996 Ge
-2.932 -2.269 0.916 Ge
-6.967 0.099 -1.371 Ge
-4.042 1.302 0.643 Ge
-4.576 0.936 -1.976 Os
-4.415 -0.719 2.392 Os
-4.949 -1.085 -0.228 Os
0.000 0.000 0.000 Cs
```

Mass density   8.18 g cm⁻³
E   -55.53 eV for the cell shown

---

No. 7
A geometry-optimized SnHgB4 structure. Source: OQMD via LeMat-Bulk, functional GGA-PBE.

```
SnHgB4
1.0
-1.789 3.772 3.607
-3.622 3.477 -2.286
1.152 -5.180 1.510
B Hg Sn
4 1 1
Cartesian
-1.577 1.361 2.032 B
-2.469 1.181 -0.921 B
-2.683 0.708 0.799 B
-1.791 0.888 3.751 B
-2.706 3.625 0.660 Hg
0.000 0.000 0.000 Sn
```

Mass density   7.95 g cm⁻³
E   -27.00 eV for the cell shown

---

No. 8
A geometry-optimized YScNiBi structure. Source: OQMD via LeMat-Bulk, functional GGA-PBE.

```
YScNiBi
1.0
0.000 3.555 3.555
3.555 0.000 3.555
3.555 3.555 0.000
Sc Bi Y Ni
1 1 1 1
Cartesian
1.777 1.777 1.777 Sc
0.000 0.000 0.000 Bi
3.555 3.555 3.555 Y
5.332 5.332 5.332 Ni
```

Mass density   7.42 g cm⁻³
E   -22.29 eV for the cell shown